1.
Compound: Ta11Ir4
Source: the Alexandria database
Functional: PBEsol
Structure: relaxed

Lattice parameters (Å, degrees): 5.134 9.869 9.869 90.00 90.00 90.00
Positions (direct):
Ir1 0.000 0.565 0.761
Ir2 0.000 0.435 0.239
Ir3 0.500 0.739 0.065
Ir4 0.500 0.261 0.935
Ir5 0.500 0.935 0.261
Ir6 0.500 0.065 0.739
Ir7 0.000 0.761 0.565
Ir8 0.000 0.239 0.435
Ta1 0.000 0.500 0.500
Ta2 0.500 0.000 0.000
Ta3 0.000 0.898 0.102
Ta4 0.000 0.102 0.898
Ta5 0.500 0.398 0.398
Ta6 0.500 0.602 0.602
Ta7 0.000 0.629 0.035
Ta8 0.000 0.371 0.965
Ta9 0.500 0.465 0.129
Ta10 0.500 0.535 0.871
Ta11 0.500 0.871 0.535
Ta12 0.500 0.129 0.465
Ta13 0.000 0.035 0.629
Ta14 0.000 0.965 0.371
Ta15 0.247 0.815 0.815
Ta16 0.247 0.185 0.185
Ta17 0.747 0.685 0.315
Ta18 0.747 0.315 0.685
Ta19 0.253 0.685 0.315
Ta20 0.253 0.315 0.685
Ta21 0.753 0.815 0.815
Ta22 0.753 0.185 0.185

Results
The value obtained for the formation energy is -465.0 meV per atom. As for the mass density: 18.326 g cm⁻³. The calculation puts the spin magnetization at 0.00 μB per formula unit. For the density of states at the Fermi level, the calculation gives 0.645 states/eV per atom.

2.
Compound: Li2Mn3SbO8
Source: the Alexandria database
Functional: PBEsol
Structure: relaxed

Lattice parameters (Å, degrees): 5.885 5.953 5.985 117.81 119.41 90.16
Positions (direct):
Li1 0.500 0.000 0.500
Li2 0.000 0.000 0.500
Mn1 0.500 0.000 0.000
Mn2 0.500 0.500 0.500
Mn3 0.000 0.500 0.500
Sb1 0.000 0.000 0.000
O1 0.269 0.751 0.565
O2 0.278 0.803 0.040
O3 0.748 0.791 0.016
O4 0.218 0.259 0.461
O5 0.782 0.741 0.539
O6 0.252 0.209 0.984
O7 0.722 0.197 0.960
O8 0.731 0.249 0.435

Results
Its distance to the lowest polymorph of the same formula is 95 meV/atom. As for the mass density: 4.617 g cm⁻³. The calculation puts the spin magnetization at 11.12 μB per formula unit. For the density of states at the Fermi level, the calculation gives 0.245 states/eV per atom. The formation energy from raw total energies is -1.619 eV/atom.

3.
Compound: GeSN2O
Source: the Alexandria database
Functional: PBEsol
Structure: relaxed

Lattice parameters (Å, degrees): 3.557 3.849 3.849 90.00 90.00 90.00
Positions (direct):
Ge1 0.000 0.000 0.000
S1 0.500 0.500 0.500
O1 0.500 0.000 0.000
N1 0.000 0.000 0.500
N2 0.000 0.500 0.000

Results
As for the mass density: 4.687 g cm⁻³. The calculation puts the spin magnetization at 0.01 μB per formula unit. For the density of states at the Fermi level, the calculation gives 0.757 states/eV per atom. The formation energy from raw total energies is 1.044 eV/atom.

4.
Compound: CsSb2IrI
Source: the Alexandria database
Functional: PBEsol
Structure: relaxed

Lattice parameters (Å, degrees): 6.141 6.141 6.431 90.00 90.00 90.00
Positions (direct):
Cs1 0.000 0.000 0.000
I1 0.000 0.000 0.500
Ir1 0.500 0.500 0.500
Sb1 0.000 0.500 0.000
Sb2 0.500 0.000 0.000

Results
As for the mass density: 4.763 g cm⁻³. The calculation puts the spin magnetization at 3.56 μB per formula unit. For the density of states at the Fermi level, the calculation gives 1.793 states/eV per atom. The formation energy from raw total energies is 2.394 eV/atom.

5.
Compound: AsOsCBr2
Source: the Alexandria database
Functional: PBEsol
Structure: relaxed

Lattice parameters (Å, degrees): 4.298 4.289 4.289 90.00 90.00 90.00
Positions (direct):
As1 0.500 0.000 0.000
Os1 0.500 0.500 0.500
C1 0.000 0.000 0.000
Br1 0.000 0.000 0.500
Br2 0.000 0.500 0.000

Results
As for the mass density: 9.177 g cm⁻³. The calculation puts the spin magnetization at 0.00 μB per formula unit. For the density of states at the Fermi level, the calculation gives 0.771 states/eV per atom. The formation energy from raw total energies is 1.928 eV/atom.

6.
Compound: Zn2CoOs
Source: the Alexandria database
Functional: PBEsol
Structure: relaxed

Lattice parameters (Å, degrees): 3.640 3.640 4.626 113.17 113.17 90.00
Positions (direct):
Co1 0.500 0.500 0.000
Os1 0.000 0.000 0.000
Zn1 0.750 0.250 0.500
Zn2 0.250 0.750 0.500

Results
Its distance to the lowest polymorph of the same formula is 97 meV/atom. The value obtained for the formation energy is 235.7 meV per atom. As for the mass density: 12.387 g cm⁻³. The calculation puts the spin magnetization at 2.06 μB per formula unit. For the density of states at the Fermi level, the calculation gives 1.168 states/eV per atom.

7.
Compound: CdSbPtI2
Source: the Alexandria database
Functional: PBEsol
Structure: relaxed

Lattice parameters (Å, degrees): 5.496 5.496 5.498 90.00 90.00 90.00
Positions (direct):
I1 0.000 0.500 0.000
I2 0.500 0.000 0.000
Sb1 0.000 0.000 0.500
Pt1 0.500 0.500 0.500
Cd1 0.000 0.000 0.000

Results
As for the mass density: 6.831 g cm⁻³. The calculation puts the spin magnetization at 0.33 μB per formula unit. For the density of states at the Fermi level, the calculation gives 1.536 states/eV per atom. The formation energy from raw total energies is 1.136 eV/atom.

8.
Compound: Fe3SnS
Source: the Alexandria database
Functional: PBEsol
Structure: relaxed

Lattice parameters (Å, degrees): 4.719 4.719 4.719 90.00 90.00 90.00
Positions (direct):
S1 0.500 0.500 0.500
Sn1 0.000 0.000 0.000
Fe1 0.000 0.500 0.000
Fe2 0.000 0.000 0.500
Fe3 0.500 0.000 0.000

Results
As for the mass density: 5.030 g cm⁻³. The calculation puts the spin magnetization at 8.35 μB per formula unit. For the density of states at the Fermi level, the calculation gives 2.195 states/eV per atom. The formation energy from raw total energies is 1.704 eV/atom.

9.
Compound: CuPtSe2N
Source: the Alexandria database
Functional: PBEsol
Structure: relaxed

Lattice parameters (Å, degrees): 3.411 4.826 4.826 90.00 90.00 90.00
Positions (direct):
Cu1 0.000 0.000 0.000
Se1 0.000 0.000 0.500
Se2 0.000 0.500 0.000
Pt1 0.500 0.500 0.500
N1 0.500 0.000 0.000

Results
As for the mass density: 9.001 g cm⁻³. The calculation puts the spin magnetization at 1.09 μB per formula unit. For the density of states at the Fermi level, the calculation gives 0.837 states/eV per atom. The formation energy from raw total energies is 0.963 eV/atom.

10.
Compound: Sr3CaRh
Source: the Alexandria database
Functional: PBEsol
Structure: relaxed

Lattice parameters (Å, degrees): 5.815 5.815 5.815 90.00 90.00 90.00
Positions (direct):
Sr1 0.000 0.500 0.000
Sr2 0.000 0.000 0.500
Sr3 0.500 0.000 0.000
Ca1 0.500 0.500 0.500
Rh1 0.000 0.000 0.000

Results
Its distance to the lowest polymorph of the same formula is 80 meV/atom. The value obtained for the formation energy is -74.7 meV per atom. As for the mass density: 3.428 g cm⁻³. The calculation puts the spin magnetization at 0.00 μB per formula unit. For the density of states at the Fermi level, the calculation gives 0.758 states/eV per atom.

11.
Compound: ZrBe2Os
Source: the Alexandria database
Functional: PBEsol
Structure: relaxed

Lattice parameters (Å, degrees): 3.897 3.897 8.521 103.22 103.22 90.00
Positions (direct):
Be1 0.625 0.875 0.750
Be2 0.125 0.875 0.750
Be3 0.125 0.875 0.250
Be4 0.125 0.375 0.250
Os1 0.000 0.000 0.000
Os2 0.250 0.750 0.500
Zr1 0.500 0.500 0.000
Zr2 0.750 0.250 0.500

Results
Its distance to the lowest polymorph of the same formula is 478 meV/atom. The value obtained for the formation energy is 279.5 meV per atom. As for the mass density: 8.122 g cm⁻³. The calculation puts the spin magnetization at 0.00 μB per formula unit. For the density of states at the Fermi level, the calculation gives 0.655 states/eV per atom.

12.
Compound: TiAu2IBr
Source: the Alexandria database
Functional: PBEsol
Structure: relaxed

Lattice parameters (Å, degrees): 4.853 4.853 6.941 90.00 90.00 90.00
Positions (direct):
I1 0.000 0.000 0.500
Au1 0.000 0.500 0.000
Au2 0.500 0.000 0.000
Br1 0.000 0.000 0.000
Ti1 0.500 0.500 0.500

Results
As for the mass density: 6.589 g cm⁻³. The calculation puts the spin magnetization at 2.67 μB per formula unit. For the density of states at the Fermi level, the calculation gives 1.482 states/eV per atom. The formation energy from raw total energies is 0.995 eV/atom.

> Which value of spin magnetization does entry 2 give?

11.12 μB per formula unit

Repeat the fifth record exactly.
Compound: AsOsCBr2
Source: the Alexandria database
Functional: PBEsol
Structure: relaxed

Lattice parameters (Å, degrees): 4.298 4.289 4.289 90.00 90.00 90.00
Positions (direct):
As1 0.500 0.000 0.000
Os1 0.500 0.500 0.500
C1 0.000 0.000 0.000
Br1 0.000 0.000 0.500
Br2 0.000 0.500 0.000

Results
As for the mass density: 9.177 g cm⁻³. The calculation puts the spin magnetization at 0.00 μB per formula unit. For the density of states at the Fermi level, the calculation gives 0.771 states/eV per atom. The formation energy from raw total energies is 1.928 eV/atom.

> Number 6 is which compound?

Zn2CoOs